# Ac4SiHgTe2 PBE relaxed
# Raw formation energy   -0.99 eV/atom
data_Ac4SiHgTe2
_space_group_name_H-M_alt 'P 1 2/m 1'
_space_group_IT_number 10
_space_group_name_Hall '-P 2y'
_cell_length_a 8.0871
_cell_length_b 4.6280
_cell_length_c 8.3234
_cell_angle_alpha 90.00
_cell_angle_beta 108.22
_cell_angle_gamma 90.00
loop_
_atom_site_label
_atom_site_fract_x
_atom_site_fract_y
_atom_site_fract_z
_atom_site_occupancy
Ac1 0.2319 0.0000 0.2282 1
Ac2 0.2432 0.5000 0.7610 1
Si1 0.0000 0.5000 0.0000 1
Hg1 0.5000 0.0000 0.0000 1
Te1 0.0000 0.0000 0.5000 1
Te2 0.5000 0.5000 0.5000 1